# 1
Compound: Li2CaTe
Source: Alexandria
Functional: meta-GGA SCAN
Structure: PBEsol geometry

Calculated values
VASP energy: -13.463 eV/atom

Cell lengths 6.0902, 6.1164, 11.8365 Å; angles 90.00, 90.00, 90.00 degrees
Space group Fmmm (No. 69)
Asymmetric unit:
Li (0.0000, 0.2500, 0.2500)
Ca (0.0000, 0.0000, 0.0000)
Te (0.0000, 0.0000, 0.5000)

# 2
Compound: VO2F
Source: Alexandria
Functional: meta-GGA SCAN
Structure: PBEsol geometry

Calculated values
VASP energy: -10.945 eV/atom

Cell lengths 21.3005, 5.3531, 5.3910 Å; angles 90.00, 103.44, 90.00 degrees
Space group C2 (No. 5)
Asymmetric unit:
V (0.0818, 0.0000, 0.1454)
V (0.0847, 0.4930, 0.6409)
V (0.2478, 0.4591, 0.7227)
O (0.0000, 0.0798, 0.0000)
O (0.0000, 0.4787, 0.5000)
O (0.0711, 0.8173, 0.3679)
O (0.0932, 0.2583, 0.8306)
O (0.1670, 0.5814, 0.6661)
O (0.1668, 0.9727, 0.1704)
O (0.2383, 0.2251, 0.5222)
F (0.0723, 0.7401, 0.8770)
F (0.0958, 0.3006, 0.3350)
F (0.2389, 0.3038, 0.0105)

# 3
Compound: CsSc2TlW
Source: Alexandria
Functional: meta-GGA SCAN
Structure: PBEsol geometry

Calculated values
calculated formation energy: 1.103 eV per atom

Cell lengths 5.1209, 5.1209, 5.9572 Å; angles 90.00, 90.00, 90.00 degrees
Space group P4/mmm (No. 123)
Asymmetric unit:
Cs (0.0000, 0.0000, 0.0000)
Sc (0.0000, 0.5000, 0.5000)
Tl (0.5000, 0.5000, 0.0000)
W (0.0000, 0.0000, 0.5000)

# 4
Compound: CrTePS2
Source: Alexandria
Functional: meta-GGA SCAN
Structure: PBEsol geometry

Calculated values
VASP energy: -16.199 eV/atom

Cell lengths 4.9260, 4.9260, 5.0812 Å; angles 90.00, 90.00, 90.00 degrees
Space group P4/mmm (No. 123)
Asymmetric unit:
Cr (0.0000, 0.0000, 0.0000)
Te (0.5000, 0.5000, 0.5000)
P (0.5000, 0.5000, 0.0000)
S (0.0000, 0.5000, 0.5000)

# 5
Compound: Ta2IrPt
Source: Alexandria
Functional: meta-GGA SCAN
Structure: PBEsol geometry

Calculated values
calculated formation energy: -0.793 eV per atom

Cell lengths 2.8164, 3.9632, 5.6287 Å; angles 90.00, 90.00, 90.00 degrees
Space group Pmmm (No. 47)
Asymmetric unit:
Ta (0.0000, 0.0000, 0.2453)
Ir (0.5000, 0.5000, 0.0000)
Pt (0.5000, 0.5000, 0.5000)

# 6
Compound: LaCdIr2
Source: Alexandria
Functional: meta-GGA SCAN
Structure: PBEsol geometry

Calculated values
calculated formation energy: -0.219 eV per atom

Cell lengths 4.3821, 4.3821, 3.8810 Å; angles 90.00, 90.00, 90.00 degrees
Space group P4/mmm (No. 123)
Asymmetric unit:
La (0.0000, 0.0000, 0.0000)
Cd (0.5000, 0.5000, 0.0000)
Ir (0.0000, 0.5000, 0.5000)

# 7
Compound: VBO4
Source: Alexandria
Functional: meta-GGA SCAN
Structure: PBEsol geometry

Calculated values
VASP energy: -10.777 eV/atom

Cell lengths 4.8157, 4.6512, 11.4520 Å; angles 90.00, 113.74, 90.00 degrees
Space group P2_1/c (No. 14)
Asymmetric unit:
V (0.1982, 0.2490, 0.0764)
B (0.1477, 0.5306, 0.3118)
O (0.0465, 0.1953, 0.7121)
O (0.1069, 0.0668, 0.9235)
O (0.2762, 0.5730, 0.0472)
O (0.4562, 0.6032, 0.3342)

# 8
Compound: CsYBr3
Source: Alexandria
Functional: meta-GGA SCAN
Structure: PBEsol geometry

Calculated values
VASP energy: -25.226 eV/atom

Cell lengths 6.2201, 6.2201, 6.2201 Å; angles 90.00, 90.00, 90.00 degrees
Space group Pm-3m (No. 221)
Asymmetric unit:
Cs (0.0000, 0.0000, 0.0000)
Y (0.5000, 0.5000, 0.5000)
Br (0.0000, 0.0000, 0.5000)

# 9
Compound: HfHO2
Source: Alexandria
Functional: meta-GGA SCAN
Structure: PBEsol geometry

Calculated values
VASP energy: -21.697 eV/atom

Cell lengths 8.9320, 8.9320, 8.9320 Å; angles 90.00, 90.00, 90.00 degrees
Space group Fd-3m (No. 227, origin choice 2)
Asymmetric unit:
Hf (0.1250, 0.1250, 0.1250)
H (0.1250, 0.1250, 0.6250)
O (0.0000, 0.0000, 0.0000)

# 10
Compound: Tl5Se3
Source: Alexandria
Functional: meta-GGA SCAN
Structure: PBEsol geometry

Calculated values
polymorph energy (0 for the lowest one): 0.000 eV/atom

Cell lengths 8.3853, 8.3853, 12.2710 Å; angles 90.00, 90.00, 90.00 degrees
Space group P4/ncc (No. 130, origin choice 2)
Asymmetric unit:
Tl (0.0826, 0.6191, 0.0950)
Tl (0.2500, 0.2500, 0.2218)
Se (0.0920, 0.5920, 0.7500)
Se (0.2500, 0.2500, 0.4804)

# 11
Compound: Li2MgNi
Source: Alexandria
Functional: meta-GGA SCAN
Structure: PBEsol geometry

Calculated values
calculated formation energy: 0.016 eV per atom

Cell lengths 4.3487, 4.3487, 6.1130 Å; angles 90.00, 90.00, 90.00 degrees
Space group I-4m2 (No. 119)
Asymmetric unit:
Li (0.0000, 0.0000, 0.0000)
Li (0.0000, 0.5000, 0.2500)
Mg (0.0000, 0.0000, 0.5000)
Ni (0.0000, 0.5000, 0.7500)

# 12
Compound: VBiO4
Source: Alexandria
Functional: meta-GGA SCAN
Structure: PBEsol geometry

Calculated values
VASP energy: -22.139 eV/atom

Cell lengths 6.1371, 11.0858, 5.9939 Å; angles 90.00, 115.16, 90.00 degrees
Space group C2/c (No. 15)
Asymmetric unit:
V (0.0000, 0.1027, 0.2500)
Bi (0.0000, 0.3912, 0.2500)
O (0.0423, 0.1943, 0.4877)
O (0.2286, 0.4795, 0.6451)

# 13
Compound: Co2HgRh
Source: Alexandria
Functional: meta-GGA SCAN
Structure: PBEsol geometry

Calculated values
calculated formation energy: 0.327 eV per atom

Cell lengths 3.8107, 3.8107, 7.4451 Å; angles 90.00, 90.00, 90.00 degrees
Space group I4/mmm (No. 139)
Asymmetric unit:
Co (0.0000, 0.5000, 0.2500)
Hg (0.0000, 0.0000, 0.0000)
Rh (0.0000, 0.0000, 0.5000)

# 14
Compound: AgW2Br6O2
Source: Alexandria
Functional: meta-GGA SCAN
Structure: PBEsol geometry

Calculated values
VASP energy: -28.150 eV/atom

Cell lengths 13.5048, 3.7799, 11.4644 Å; angles 90.00, 112.25, 90.00 degrees
Space group Cm (No. 8)
Asymmetric unit:
Ag (0.0000, 0.0000, 0.0000)
W (0.1761, 0.0000, 0.3499)
W (0.3650, 0.0000, 0.6953)
Br (0.0620, 0.5000, 0.8127)
Br (0.1594, 0.0000, 0.5684)
Br (0.2053, 0.0000, 0.1464)
Br (0.3404, 0.0000, 0.9047)
Br (0.3823, 0.0000, 0.4789)
Br (0.4788, 0.5000, 0.2420)
O (0.1796, 0.5000, 0.3544)
O (0.3615, 0.5000, 0.6922)

# 15
Compound: Co3RhSe
Source: Alexandria
Functional: meta-GGA SCAN
Structure: PBEsol geometry

Calculated values
VASP energy: -20.257 eV/atom

Cell lengths 4.2027, 4.2027, 4.2027 Å; angles 90.00, 90.00, 90.00 degrees
Space group Pm-3m (No. 221)
Asymmetric unit:
Co (0.0000, 0.0000, 0.5000)
Rh (0.5000, 0.5000, 0.5000)
Se (0.0000, 0.0000, 0.0000)

# 16
Compound: ZnSe2Cl
Source: Alexandria
Functional: meta-GGA SCAN
Structure: PBEsol geometry

Calculated values
polymorph energy (0 for the lowest one): 0.521 eV/atom

Cell lengths 5.0011, 5.0011, 2.9748 Å; angles 90.00, 90.00, 90.00 degrees
Space group P4/mmm (No. 123)
Asymmetric unit:
Zn (0.0000, 0.0000, 0.0000)
Se (0.0000, 0.5000, 0.5000)
Cl (0.5000, 0.5000, 0.0000)

# 17
Compound: TaTc3Ge
Source: Alexandria
Functional: meta-GGA SCAN
Structure: PBEsol geometry

Calculated values
calculated formation energy: 1.003 eV per atom

Cell lengths 4.4123, 4.4123, 4.4123 Å; angles 90.00, 90.00, 90.00 degrees
Space group Pm-3m (No. 221)
Asymmetric unit:
Ta (0.0000, 0.0000, 0.0000)
Tc (0.0000, 0.5000, 0.5000)
Ge (0.5000, 0.5000, 0.5000)

# 18
Compound: HfBe2
Source: Alexandria
Functional: meta-GGA SCAN
Structure: PBEsol geometry

Calculated values
calculated formation energy: -0.177 eV per atom

Cell lengths 3.7645, 3.7645, 3.1345 Å; angles 90.00, 90.00, 120.00 degrees
Space group P6/mmm (No. 191)
Asymmetric unit:
Hf (0.0000, 0.0000, 0.0000)
Be (0.3333, 0.6667, 0.5000)

# 19
Compound: InRe2Br
Source: Alexandria
Functional: meta-GGA SCAN
Structure: PBEsol geometry

Calculated values
polymorph energy (0 for the lowest one): 0.194 eV/atom

Cell lengths 3.1480, 3.1480, 6.5599 Å; angles 90.00, 90.00, 90.00 degrees
Space group P4/mmm (No. 123)
Asymmetric unit:
In (0.0000, 0.0000, 0.0000)
Re (0.5000, 0.5000, 0.2648)
Br (0.0000, 0.0000, 0.5000)

# 20
Compound: EuCo2Si2
Source: Alexandria
Functional: meta-GGA SCAN
Structure: PBEsol geometry

Calculated values
VASP energy: -22.237 eV/atom

Cell lengths 3.8647, 3.8647, 9.9414 Å; angles 90.00, 90.00, 90.00 degrees
Space group I4/mmm (No. 139)
Asymmetric unit:
Eu (0.0000, 0.0000, 0.0000)
Co (0.0000, 0.5000, 0.2500)
Si (0.0000, 0.0000, 0.3668)

# 21
Compound: MgTeAs2
Source: Alexandria
Functional: meta-GGA SCAN
Structure: PBEsol geometry

Calculated values
polymorph energy (0 for the lowest one): 0.387 eV/atom

Cell lengths 3.0589, 3.0589, 33.1363 Å; angles 90.00, 90.00, 120.00 degrees
Space group R-3m (No. 166, hexagonal axes)
Asymmetric unit:
Mg (0.0000, 0.0000, 0.0000)
Te (0.0000, 0.0000, 0.5000)
As (0.0000, 0.0000, 0.2670)

# 22
Compound: PrFe2Si2
Source: Alexandria
Functional: meta-GGA SCAN
Structure: PBEsol geometry

Calculated values
VASP energy: -20.416 eV/atom

Cell lengths 3.9841, 3.9841, 9.6836 Å; angles 90.00, 90.00, 90.00 degrees
Space group I4/mmm (No. 139)
Asymmetric unit:
Pr (0.0000, 0.0000, 0.0000)
Fe (0.0000, 0.5000, 0.2500)
Si (0.0000, 0.0000, 0.3592)

# 23
Compound: Sc2Co3
Source: Alexandria
Functional: meta-GGA SCAN
Structure: PBEsol geometry

Calculated values
calculated formation energy: -0.181 eV per atom

Cell lengths 8.4457, 13.7738, 4.9253 Å; angles 90.00, 90.00, 90.00 degrees
Space group Fdd2 (No. 43)
Asymmetric unit:
Sc (0.0800, 0.2022, 0.0000)
Co (0.0000, 0.0000, 0.2313)
Co (0.0756, 0.1244, 0.4920)

# 24
Compound: Ca2TaW
Source: Alexandria
Functional: meta-GGA SCAN
Structure: PBEsol geometry

Calculated values
calculated formation energy: 0.970 eV per atom
polymorph energy (0 for the lowest one): 0.299 eV/atom

Cell lengths 6.9200, 6.9200, 6.9200 Å; angles 90.00, 90.00, 90.00 degrees
Space group F-43m (No. 216)
Asymmetric unit:
Ca (0.0000, 0.0000, 0.0000)
Ca (0.2500, 0.2500, 0.2500)
Ta (0.0000, 0.0000, 0.5000)
W (0.2500, 0.2500, 0.7500)

# 25
Compound: ZrTcNiCl2
Source: Alexandria
Functional: meta-GGA SCAN
Structure: PBEsol geometry

Calculated values
VASP energy: -18.973 eV/atom

Cell lengths 4.5110, 4.5110, 4.5054 Å; angles 90.00, 90.00, 90.00 degrees
Space group P4/mmm (No. 123)
Asymmetric unit:
Zr (0.0000, 0.0000, 0.0000)
Tc (0.5000, 0.5000, 0.5000)
Ni (0.5000, 0.5000, 0.0000)
Cl (0.0000, 0.5000, 0.5000)

Number 1: magnetic moment 3.5 μB/cell. Number 2: magnetic moment 0.0 μB/cell. Number 3: magnetic moment 0.0 μB/cell. Number 4: magnetic moment 3.2 μB/cell. Number 5: magnetic moment 0.0 μB/cell. Number 6: magnetic moment 0.0 μB/cell. Number 7: magnetic moment 0.0 μB/cell. Number 8: magnetic moment 1.0 μB/cell. Number 9: magnetic moment 8.2 μB/cell. Number 10: magnetic moment 0.0 μB/cell. Number 11: magnetic moment 0.0 μB/cell. Number 12: magnetic moment 0.0 μB/cell. Number 13: magnetic moment 9.1 μB/cell. Number 14: magnetic moment 6.0 μB/cell. Number 15: magnetic moment 5.3 μB/cell. Number 16: magnetic moment 0.0 μB/cell. Number 17: magnetic moment 0.0 μB/cell. Number 18: magnetic moment 0.0 μB/cell. Number 19: magnetic moment 0.0 μB/cell. Number 20: magnetic moment 13.9 μB/cell. Number 21: magnetic moment 0.0 μB/cell. Number 22: magnetic moment 0.0 μB/cell. Number 23: magnetic moment 21.3 μB/cell. Number 24: magnetic moment 0.0 μB/cell. Number 25: magnetic moment 0.0 μB/cell.